VASP calculation (PBE) on an optimized crystal structure of Ba2InSb2.

Computed properties:
- Final energy: -3.700 eV per atom
- Excess energy over the best structure of this formula in the dataset: 23.1 kJ/mol of formula units
- E_form (uncorrected): -734 meV per atom
- Magnetic moment: 0.00 μB/f.u.
- V: 768.1 Å³/cell
- D(E_F): 11.80 states/eV/cell

The structure in CIF format:
```
data_Ba2InSb2
_cell_length_a 13.2681
_cell_length_b 4.7939
_cell_length_c 13.3987
_cell_angle_alpha 90.00
_cell_angle_beta 115.68
_cell_angle_gamma 90.00
_space_group_name_H-M_alt 'C 1 2/m 1'
_space_group_IT_number 12
loop_
_space_group_symop_operation_xyz
'x,y,z'
'-x,-y,-z'
'-x,y,-z'
'x,-y,z'
'x+1/2,y+1/2,z'
'-x+1/2,-y+1/2,-z'
'-x+1/2,y+1/2,-z'
'x+1/2,-y+1/2,z'
loop_
_atom_site_label
_atom_site_type_symbol
_atom_site_fract_x
_atom_site_fract_y
_atom_site_fract_z
_atom_site_occupancy
Ba1 Ba 0.0841 0.0000 0.4162 1
Ba2 Ba 0.1765 0.5000 0.1505 1
In1 In 0.0724 0.5000 0.7869 1
Sb1 Sb 0.0717 0.0000 0.9067 1
Sb2 Sb 0.1726 0.5000 0.6351 1
```


VASP calculation (PBE) on an optimized crystal structure of BaInSb.

Computed properties:
- Final energy: -3.198 eV per atom
- Excess energy over the best structure of this formula in the dataset: 128.2 kJ/mol of formula units
- E_form (uncorrected): -271 meV per atom
- Magnetic moment: 0.00 μB/f.u.
- V: 504.1 Å³/cell

The structure in CIF format:
```
data_BaInSb
_cell_length_a 7.9587
_cell_length_b 7.9587
_cell_length_c 7.9587
_cell_angle_alpha 90.00
_cell_angle_beta 90.00
_cell_angle_gamma 90.00
_space_group_name_H-M_alt 'F -4 3 m'
_space_group_IT_number 216
_space_group_name_Hall 'F -4 2 3'
loop_
_atom_site_label
_atom_site_type_symbol
_atom_site_fract_x
_atom_site_fract_y
_atom_site_fract_z
_atom_site_occupancy
Ba1 Ba 0.0000 0.0000 0.0000 1
In1 In 0.2500 0.2500 0.7500 1
Sb1 Sb 0.2500 0.2500 0.2500 1
```


VASP calculation (PBE) on an optimized crystal structure of BaInSb.

Computed properties:
- Final energy: -3.437 eV per atom
- Excess energy over the best structure of this formula in the dataset: 59.1 kJ/mol of formula units
- E_form (uncorrected): -509 meV per atom
- Magnetic moment: 0.00 μB/f.u.
- V: 204.8 Å³/cell
- D(E_F): 4.05 states/eV/cell

The structure in CIF format:
```
data_BaInSb
_cell_length_a 4.1119
_cell_length_b 4.1119
_cell_length_c 12.1141
_cell_angle_alpha 90.00
_cell_angle_beta 90.00
_cell_angle_gamma 90.00
_space_group_name_H-M_alt 'I 4 m m'
_space_group_IT_number 107
_space_group_name_Hall 'I 4 -2'
loop_
_atom_site_label
_atom_site_type_symbol
_atom_site_fract_x
_atom_site_fract_y
_atom_site_fract_z
_atom_site_occupancy
Ba1 Ba 0.0000 0.0000 0.0000 1
In1 In 0.0000 0.0000 0.6994 1
Sb1 Sb 0.0000 0.0000 0.3043 1
```


VASP calculation (PBE) on an optimized crystal structure of BaInSb.

Computed properties:
- Final energy: -3.553 eV per atom
- Excess energy over the best structure of this formula in the dataset: 25.5 kJ/mol of formula units
- E_form (uncorrected): -625 meV per atom
- Magnetic moment: 0.00 μB/f.u.
- V: 430.6 Å³/cell
- D(E_F): 3.73 states/eV/cell

The structure in CIF format:
```
data_BaInSb
_cell_length_a 8.0992
_cell_length_b 4.5985
_cell_length_c 11.5615
_cell_angle_alpha 90.00
_cell_angle_beta 90.00
_cell_angle_gamma 90.00
_space_group_name_H-M_alt 'P n m a'
_space_group_IT_number 62
loop_
_space_group_symop_operation_xyz
'x,y,z'
'-x,-y,-z'
'-x+1/2,-y,z+1/2'
'x+1/2,y,-z+1/2'
'x+1/2,-y+1/2,-z+1/2'
'-x+1/2,y+1/2,z+1/2'
'-x,y+1/2,-z'
'x,-y+1/2,z'
loop_
_atom_site_label
_atom_site_type_symbol
_atom_site_fract_x
_atom_site_fract_y
_atom_site_fract_z
_atom_site_occupancy
Ba1 Ba 0.0351 0.2500 0.1931 1
In1 In 0.1543 0.2500 0.5736 1
Sb1 Sb 0.2268 0.7500 0.4080 1
```


VASP calculation (PBE) on an optimized crystal structure of Ba2InSb.

Computed properties:
- Final energy: -2.965 eV per atom
- Excess energy over the best structure of this formula in the dataset: 171.0 kJ/mol of formula units
- E_form (uncorrected): -289 meV per atom
- Magnetic moment: 0.00 μB/f.u.
- V: 599.2 Å³/cell
- D(E_F): 19.48 states/eV/cell

The structure in CIF format:
```
data_Ba2InSb
_cell_length_a 8.4308
_cell_length_b 8.4308
_cell_length_c 8.4308
_cell_angle_alpha 90.00
_cell_angle_beta 90.00
_cell_angle_gamma 90.00
_space_group_name_H-M_alt 'F -4 3 m'
_space_group_IT_number 216
_space_group_name_Hall 'F -4 2 3'
loop_
_atom_site_label
_atom_site_type_symbol
_atom_site_fract_x
_atom_site_fract_y
_atom_site_fract_z
_atom_site_occupancy
Ba1 Ba 0.0000 0.0000 0.0000 1
Ba2 Ba 0.2500 0.2500 0.2500 1
In1 In 0.2500 0.2500 0.7500 1
Sb1 Sb 0.0000 0.0000 0.5000 1
```


VASP calculation (PBE) on an optimized crystal structure of Ba2InSb.

Computed properties:
- Final energy: -3.073 eV per atom
- Excess energy over the best structure of this formula in the dataset: 129.3 kJ/mol of formula units
- E_form (uncorrected): -397 meV per atom
- Magnetic moment: 0.00 μB/f.u.
- V: 699.7 Å³/cell
- D(E_F): 13.98 states/eV/cell

The structure in CIF format:
```
data_Ba2InSb
_cell_length_a 9.4624
_cell_length_b 9.4624
_cell_length_c 7.8150
_cell_angle_alpha 90.00
_cell_angle_beta 90.00
_cell_angle_gamma 90.00
_space_group_name_H-M_alt 'I -4 2 d'
_space_group_IT_number 122
_space_group_name_Hall 'I -4 2bw'
loop_
_atom_site_label
_atom_site_type_symbol
_atom_site_fract_x
_atom_site_fract_y
_atom_site_fract_z
_atom_site_occupancy
Ba1 Ba 0.2307 0.2500 0.1250 1
In1 In 0.0000 0.0000 0.5000 1
Sb1 Sb 0.0000 0.0000 0.0000 1
```


VASP calculation (PBE) on an optimized crystal structure of BaInSb.

Computed properties:
- Final energy: -3.579 eV per atom
- Excess energy over the best structure of this formula in the dataset: 17.9 kJ/mol of formula units
- E_form (uncorrected): -652 meV per atom
- Magnetic moment: 0.00 μB/f.u.
- V: 468.3 Å³/cell
- D(E_F): 2.44 states/eV/cell

The structure in CIF format:
```
data_BaInSb
_cell_length_a 13.7412
_cell_length_b 4.8011
_cell_length_c 7.1011
_cell_angle_alpha 90.00
_cell_angle_beta 91.70
_cell_angle_gamma 90.00
_space_group_name_H-M_alt 'C 1 2/m 1'
_space_group_IT_number 12
loop_
_space_group_symop_operation_xyz
'x,y,z'
'-x,-y,-z'
'-x,y,-z'
'x,-y,z'
'x+1/2,y+1/2,z'
'-x+1/2,-y+1/2,-z'
'-x+1/2,y+1/2,-z'
'x+1/2,-y+1/2,z'
loop_
_atom_site_label
_atom_site_type_symbol
_atom_site_fract_x
_atom_site_fract_y
_atom_site_fract_z
_atom_site_occupancy
Ba1 Ba 0.1514 0.0000 0.2441 1
In1 In 0.0424 0.5000 0.7015 1
Sb1 Sb 0.1626 0.0000 0.7477 1
```


VASP calculation (PBE) on an optimized crystal structure of Ba2InSb.

Computed properties:
- Final energy: -3.058 eV per atom
- Excess energy over the best structure of this formula in the dataset: 135.1 kJ/mol of formula units
- E_form (uncorrected): -382 meV per atom
- Magnetic moment: 0.00 μB/f.u.
- V: 344.6 Å³/cell
- D(E_F): 4.86 states/eV/cell

The structure in CIF format:
```
data_Ba2InSb
_cell_length_a 5.9638
_cell_length_b 5.9736
_cell_length_c 9.6731
_cell_angle_alpha 90.00
_cell_angle_beta 90.00
_cell_angle_gamma 90.00
_space_group_name_H-M_alt 'C m m 2'
_space_group_IT_number 35
loop_
_space_group_symop_operation_xyz
'x,y,z'
'-x,-y,z'
'-x,y,z'
'x,-y,z'
'x+1/2,y+1/2,z'
'-x+1/2,-y+1/2,z'
'-x+1/2,y+1/2,z'
'x+1/2,-y+1/2,z'
loop_
_atom_site_label
_atom_site_type_symbol
_atom_site_fract_x
_atom_site_fract_y
_atom_site_fract_z
_atom_site_occupancy
Ba1 Ba 0.0000 0.0000 0.0000 1
Ba2 Ba 0.0000 0.5000 0.4092 1
In1 In 0.0000 0.5000 0.7675 1
Sb1 Sb 0.0000 0.0000 0.6334 1
```


VASP calculation (PBE) on an optimized crystal structure of Ba2InSb.

Computed properties:
- Final energy: -3.339 eV per atom
- Excess energy over the best structure of this formula in the dataset: 27.0 kJ/mol of formula units
- E_form (uncorrected): -662 meV per atom
- Magnetic moment: 0.00 μB/f.u.
- V: 152.2 Å³/cell
- D(E_F): 2.20 states/eV/cell

The structure in CIF format:
```
data_Ba2InSb
_cell_length_a 5.6659
_cell_length_b 5.6659
_cell_length_c 4.7424
_cell_angle_alpha 90.00
_cell_angle_beta 90.00
_cell_angle_gamma 90.00
_space_group_name_H-M_alt 'P 4/m m m'
_space_group_IT_number 123
_space_group_name_Hall '-P 4 2'
loop_
_atom_site_label
_atom_site_type_symbol
_atom_site_fract_x
_atom_site_fract_y
_atom_site_fract_z
_atom_site_occupancy
Ba1 Ba 0.0000 0.5000 0.0000 1
In1 In 0.0000 0.0000 0.5000 1
Sb1 Sb 0.5000 0.5000 0.5000 1
```


VASP calculation (PBE) on an optimized crystal structure of BaIn2Sb.

Computed properties:
- Final energy: -3.263 eV per atom
- E_form (uncorrected): -382 meV per atom
- Magnetic moment: 0.00 μB/f.u.
- V: 267.4 Å³/cell
- D(E_F): 4.48 states/eV/cell

The structure in CIF format:
```
data_BaIn2Sb
_cell_length_a 10.5343
_cell_length_b 4.3836
_cell_length_c 6.0573
_cell_angle_alpha 90.00
_cell_angle_beta 107.10
_cell_angle_gamma 90.00
_space_group_name_H-M_alt 'C 1 2/m 1'
_space_group_IT_number 12
loop_
_space_group_symop_operation_xyz
'x,y,z'
'-x,-y,-z'
'-x,y,-z'
'x,-y,z'
'x+1/2,y+1/2,z'
'-x+1/2,-y+1/2,-z'
'-x+1/2,y+1/2,-z'
'x+1/2,-y+1/2,z'
loop_
_atom_site_label
_atom_site_type_symbol
_atom_site_fract_x
_atom_site_fract_y
_atom_site_fract_z
_atom_site_occupancy
Ba1 Ba 0.0000 0.0000 0.0000 1
In1 In 0.2297 0.0000 0.6850 1
Sb1 Sb 0.0000 0.5000 0.5000 1
```


VASP calculation (PBE) on an optimized crystal structure of Ba2InSb.

Computed properties:
- Final energy: -3.334 eV per atom
- Excess energy over the best structure of this formula in the dataset: 28.7 kJ/mol of formula units
- E_form (uncorrected): -657 meV per atom
- Magnetic moment: 0.00 μB/f.u.
- V: 301.0 Å³/cell
- D(E_F): 3.95 states/eV/cell

The structure in CIF format:
```
data_Ba2InSb
_cell_length_a 13.3623
_cell_length_b 4.5077
_cell_length_c 5.4776
_cell_angle_alpha 90.00
_cell_angle_beta 114.17
_cell_angle_gamma 90.00
_space_group_name_H-M_alt 'C 1 m 1'
_space_group_IT_number 8
loop_
_space_group_symop_operation_xyz
'x,y,z'
'x,-y,z'
'x+1/2,y+1/2,z'
'x+1/2,-y+1/2,z'
loop_
_atom_site_label
_atom_site_type_symbol
_atom_site_fract_x
_atom_site_fract_y
_atom_site_fract_z
_atom_site_occupancy
Ba1 Ba 0.0000 0.0000 0.0000 1
Ba2 Ba 0.2222 0.0000 0.7220 1
In1 In 0.4458 0.0000 0.4463 1
Sb1 Sb 0.2765 0.5000 0.2761 1
```


VASP calculation (PBE) on an optimized crystal structure of BaIn2Sb.

Computed properties:
- Final energy: -3.163 eV per atom
- E_form (uncorrected): -282 meV per atom
- Magnetic moment: 0.00 μB/f.u.
- V: 527.7 Å³/cell
- D(E_F): 14.93 states/eV/cell

The structure in CIF format:
```
data_BaIn2Sb
_cell_length_a 8.0809
_cell_length_b 8.0809
_cell_length_c 8.0809
_cell_angle_alpha 90.00
_cell_angle_beta 90.00
_cell_angle_gamma 90.00
_space_group_name_H-M_alt 'F -4 3 m'
_space_group_IT_number 216
_space_group_name_Hall 'F -4 2 3'
loop_
_atom_site_label
_atom_site_type_symbol
_atom_site_fract_x
_atom_site_fract_y
_atom_site_fract_z
_atom_site_occupancy
Ba1 Ba 0.0000 0.0000 0.0000 1
In1 In 0.0000 0.0000 0.5000 1
In2 In 0.2500 0.2500 0.7500 1
Sb1 Sb 0.2500 0.2500 0.2500 1
```